DFT (GGA-PBE) results for a relaxed ThMgCuHg crystal.

Results
Formation energy from the elements ... -0.185 eV/atom
Total DFT energy (no corrections) ... -56.6 eV per cell

abc: 7.128 7.128 7.128
angles: 90.00 90.00 90.00
Space group F-43m (No. 216)
Asymmetric unit:
Th1 0.000 0.000 0.000 x4
Mg1 0.000 0.000 0.500 x4
Cu1 0.250 0.250 0.750 x4
Hg1 0.250 0.250 0.250 x4